[1]
Material: NdTm2Sc5
Method: DFT, PBE-GGA
State: optimized geometry

```
8
Lattice="6.6953 0.0283 0.0403 -3.2717 5.8416 -0.0403 -3.2717 -2.0251 5.4795" Properties=species:S:1:pos:R:3 pbc="T T T"
Nd -5.0917 2.9697 4.2324
Tm -0.1056 0.0616 4.2706
Tm -0.1056 3.9949 1.5107
Sc -1.7429 2.9816 4.2493
Sc -3.4533 3.9792 1.4917
Sc -3.4533 0.0491 4.2493
Sc 1.5316 1.0750 1.5320
Sc -1.8155 1.0589 1.5091
```

Energy (hartree per atom): -0.2062
Symmetry: I4mm (107)

[2]
Material: Nd3Tm8Sc
Method: DFT, PBE-GGA
State: optimized geometry

```
12
Lattice="-3.3092 3.0898 -6.9584 -5.2410 -1.8946 6.1531 4.6845 5.1255 4.5500" Properties=species:S:1:pos:R:3 pbc="T T T"
Nd -4.4142 1.4053 2.2731
Nd 0.5485 4.9154 1.4715
Nd -0.2783 1.6155 5.3515
Tm -1.6546 2.1025 -1.0374
Tm -2.1810 4.0435 4.2029
Tm -2.9464 -0.1736 6.0696
Tm 2.3597 3.5793 5.2126
Tm -1.0337 1.9505 2.1417
Tm -2.5403 2.6761 -4.0092
Tm 0.8227 3.3444 7.9562
Tm -1.6710 1.5807 8.3590
Sc 0.0000 0.0000 0.0000
```

Energy (hartree per atom): -0.1504
Symmetry: I-42m (121)

[3]
Material: Nd12Tm2Sc
Method: DFT, PBE-GGA
State: optimized geometry

```
30
Lattice="6.6337 1.5469 0.0000 1.5469 6.6337 0.0000 0.0000 0.0000 24.8482" Properties=species:S:1:pos:R:3 pbc="T T T"
Nd 4.0903 4.0903 19.9659
Nd 0.0000 0.0000 19.9659
Nd 6.1411 6.1297 21.7091
Nd 2.8308 5.3742 23.0777
Nd 0.0000 0.0000 8.0169
Nd 2.8064 5.3498 1.7706
Nd 5.5605 3.0171 13.9304
Nd 4.0903 4.0903 8.0169
Nd 2.0394 2.0508 21.7091
Nd 6.1297 6.1411 3.1392
Nd 2.1434 1.9468 14.5962
Nd 5.1635 2.6201 10.9179
Nd 0.0000 0.0000 16.8314
Nd 1.9468 2.1434 10.2521
Nd 2.0508 2.0394 3.1392
Nd 6.2337 6.0371 10.2521
Nd 6.0371 6.2337 14.5962
Nd 0.0000 0.0000 4.8823
Nd 2.6201 5.1635 13.9304
Nd 4.0903 4.0903 16.8314
Nd 5.3498 2.8064 23.0777
Nd 4.0903 4.0903 4.8823
Nd 3.0171 5.5605 10.9179
Nd 5.3742 2.8308 1.7706
Tm 3.3168 0.7734 6.6585
Tm 0.7734 3.3168 6.5711
Tm 0.7734 3.3168 18.1898
Tm 3.3168 0.7734 18.2772
Sc 3.3168 0.7734 0.0137
Sc 0.7734 3.3168 24.8346
```

Energy (hartree per atom): -0.1714
Symmetry: Cmme (67)